No. 1
Computed, not measured: a relaxed SrTePtO crystal at the PBE level of DFT.

Cell and atoms, written as POSCAR:
```
SrTePtO
1.0
7.195 0.000 0.000
0.000 11.130 0.000
0.000 0.000 9.704
Sr Te Pt O
8 8 8 8
direct
0.250 0.130 0.012
0.250 0.370 0.512
0.250 0.630 0.012
0.250 0.870 0.512
0.750 0.130 0.488
0.750 0.370 0.988
0.750 0.630 0.488
0.750 0.870 0.988
0.001 0.028 0.750
0.001 0.472 0.250
0.499 0.528 0.750
0.499 0.972 0.250
0.501 0.028 0.750
0.501 0.472 0.250
0.999 0.528 0.750
0.999 0.972 0.250
0.001 0.223 0.250
0.001 0.277 0.750
0.499 0.723 0.250
0.499 0.777 0.750
0.501 0.223 0.250
0.501 0.277 0.750
0.999 0.723 0.250
0.999 0.777 0.750
0.249 0.718 0.349
0.249 0.782 0.849
0.251 0.218 0.349
0.251 0.282 0.849
0.749 0.718 0.151
0.749 0.782 0.651
0.751 0.218 0.151
0.751 0.282 0.651
```

Summary:
Energy above the lowest structure with this stoichiometry in meV per atom: 279
E in eV per atom: -5.01
Crystal system: orthorhombic

No. 2
Computed, not measured: a relaxed AcNdNO crystal at the PBE level of DFT.

Cell and atoms, written as POSCAR:
```
AcNdNO
1.0
4.111 0.000 0.000
0.000 7.150 0.000
0.000 0.000 6.093
Ac Nd N O
2 2 2 2
direct
0.000 0.155 0.000
0.000 0.845 0.500
0.500 0.325 0.512
0.500 0.675 0.012
0.000 0.194 0.410
0.000 0.806 0.910
0.500 0.359 0.901
0.500 0.641 0.401
```

Summary:
Energy above the lowest structure with this stoichiometry in meV per atom: 65
E in eV per atom: -7.41
Crystal system: orthorhombic

No. 3
Computed, not measured: a relaxed RbLiHfSe3 crystal at the PBE level of DFT.

Cell and atoms, written as POSCAR:
```
RbLiHfSe3
1.0
1.976 -7.558 0.000
1.976 7.558 0.000
0.000 0.000 10.401
Rb Li Hf Se
2 2 2 6
direct
0.242 0.758 0.750
0.758 0.242 0.250
0.039 0.961 0.250
0.961 0.039 0.750
0.500 0.500 0.000
0.500 0.500 0.500
0.119 0.881 0.044
0.119 0.881 0.456
0.445 0.555 0.250
0.555 0.445 0.750
0.881 0.119 0.544
0.881 0.119 0.956
```

Summary:
Energy above the lowest structure with this stoichiometry in meV per atom: 10
E in eV per atom: -5.22
Crystal system: orthorhombic

No. 4
Computed, not measured: a relaxed KZnGa crystal at the PBE level of DFT.

Cell and atoms, written as POSCAR:
```
KZnGa
1.0
7.197 0.000 0.000
0.000 7.197 0.000
0.000 0.000 7.197
K Zn Ga
4 4 4
direct
0.000 0.000 0.000
0.000 0.500 0.500
0.500 0.000 0.500
0.500 0.500 0.000
0.000 0.000 0.500
0.000 0.500 0.000
0.500 0.000 0.000
0.500 0.500 0.500
0.250 0.250 0.250
0.250 0.750 0.750
0.750 0.250 0.750
0.750 0.750 0.250
```

Summary:
E in eV per atom: -1.46
Crystal system: cubic

No. 5
Computed, not measured: a relaxed TmGe2Pt crystal at the PBE level of DFT.

Cell and atoms, written as POSCAR:
```
TmGe2Pt
1.0
-2.150 4.368 8.214
2.150 -4.368 8.214
2.150 4.368 -8.214
Tm Ge Pt
4 8 4
direct
0.200 0.200 0.000
0.236 0.000 0.236
0.764 0.000 0.764
0.800 0.800 0.000
0.074 0.574 0.500
0.150 0.799 0.351
0.427 0.427 0.000
0.449 0.799 0.649
0.551 0.201 0.351
0.573 0.573 0.000
0.850 0.201 0.649
0.926 0.426 0.500
0.103 0.353 0.750
0.397 0.647 0.750
0.603 0.353 0.250
0.897 0.647 0.250
```

Summary:
E in eV per atom: -5.77
Crystal system: orthorhombic

No. 6
Computed, not measured: a relaxed Al2FeNi crystal at the PBE level of DFT.

Cell and atoms, written as POSCAR:
```
Al2FeNi
1.0
5.727 0.000 0.000
0.000 5.727 0.000
0.000 0.000 5.727
Al Fe Ni
8 4 4
direct
0.250 0.250 0.250
0.250 0.250 0.750
0.250 0.750 0.250
0.250 0.750 0.750
0.750 0.250 0.250
0.750 0.250 0.750
0.750 0.750 0.250
0.750 0.750 0.750
0.000 0.000 0.000
0.000 0.500 0.500
0.500 0.000 0.500
0.500 0.500 0.000
0.000 0.000 0.500
0.000 0.500 0.000
0.500 0.000 0.000
0.500 0.500 0.500
```

Summary:
E in eV per atom: -5.85
Crystal system: cubic

No. 7
Computed, not measured: a relaxed HfAs2Pb crystal at the PBE level of DFT.

Cell and atoms, written as POSCAR:
```
HfAs2Pb
1.0
7.063 0.000 0.000
0.000 7.063 0.000
0.000 0.000 7.063
Hf As Pb
4 8 4
direct
0.000 0.000 0.000
0.000 0.500 0.500
0.500 0.000 0.500
0.500 0.500 0.000
0.000 0.000 0.500
0.000 0.500 0.000
0.250 0.250 0.250
0.250 0.750 0.750
0.500 0.000 0.000
0.500 0.500 0.500
0.750 0.250 0.750
0.750 0.750 0.250
0.250 0.250 0.750
0.250 0.750 0.250
0.750 0.250 0.250
0.750 0.750 0.750
```

Summary:
E in eV per atom: -5.43
Crystal system: cubic

No. 8
Computed, not measured: a relaxed HoCdInTe3 crystal at the PBE level of DFT.

Cell and atoms, written as POSCAR:
```
HoCdInTe3
1.0
8.680 0.000 0.000
0.000 4.665 0.000
0.000 0.000 18.606
Ho Cd In Te
4 4 4 12
direct
0.233 0.250 0.039
0.267 0.750 0.539
0.733 0.250 0.461
0.767 0.750 0.961
0.081 0.250 0.341
0.419 0.750 0.841
0.581 0.250 0.159
0.919 0.750 0.659
0.055 0.250 0.802
0.445 0.750 0.302
0.555 0.250 0.698
0.945 0.750 0.198
0.006 0.250 0.576
0.126 0.750 0.940
0.233 0.250 0.206
0.267 0.750 0.706
0.374 0.250 0.440
0.494 0.750 0.076
0.506 0.250 0.924
0.626 0.750 0.560
0.733 0.250 0.294
0.767 0.750 0.794
0.874 0.250 0.060
0.994 0.750 0.424
```

Summary:
Energy above the lowest structure with this stoichiometry in meV per atom: 83
E in eV per atom: -3.61
Crystal system: orthorhombic